*one*
! Al2TlAu2 | the Alexandria database | PBE-GGA | optimized geometry; values from VASP
&SYSTEM
  ibrav = 0, nat = 5, ntyp = 3
/
ATOMIC_SPECIES
Al 26.98 Al.upf
Tl 204.38 Tl.upf
Au 196.97 Au.upf
CELL_PARAMETERS angstrom
-2.238 2.238 5.372
2.238 -2.238 5.372
2.238 2.238 -5.372
ATOMIC_POSITIONS crystal
Al 0.124 0.124 0.000
Al 0.876 0.876 0.000
Tl 0.500 0.500 0.000
Au 0.250 0.750 0.500
Au 0.750 0.250 0.500
! mass density: 10.06 g/cm³

---

*two*
! Al2TlAu2 | the Alexandria database | PBE-GGA | optimized geometry; values from VASP
&SYSTEM
  ibrav = 0, nat = 10, ntyp = 3
/
ATOMIC_SPECIES
Al 26.98 Al.upf
Tl 204.38 Tl.upf
Au 196.97 Au.upf
CELL_PARAMETERS angstrom
8.293 0.000 0.000
0.000 8.293 0.000
0.000 0.000 2.852
ATOMIC_POSITIONS crystal
Al 0.132 0.368 0.000
Al 0.368 0.868 0.000
Al 0.632 0.132 0.000
Al 0.868 0.632 0.000
Tl 0.000 0.000 0.500
Tl 0.500 0.500 0.500
Au 0.160 0.660 0.500
Au 0.340 0.160 0.500
Au 0.660 0.840 0.500
Au 0.840 0.340 0.500
! mass density: 11.05 g/cm³

---

*three*
! Al2TlAu2 | the Alexandria database | PBE-GGA | optimized geometry; values from VASP
&SYSTEM
  ibrav = 0, nat = 5, ntyp = 3
/
ATOMIC_SPECIES
Al 26.98 Al.upf
Tl 204.38 Tl.upf
Au 196.97 Au.upf
CELL_PARAMETERS angstrom
-2.090 2.090 5.991
2.090 -2.090 5.991
2.090 2.090 -5.991
ATOMIC_POSITIONS crystal
Al 0.250 0.750 0.500
Al 0.750 0.250 0.500
Tl 0.000 0.000 0.000
Au 0.378 0.378 0.000
Au 0.622 0.622 0.000
! mass density: 10.35 g/cm³

---

Decreasing stability: *three*, *one*, *two*

---

*one*
! TmAlAu3 | the Alexandria database | PBE-GGA | optimized geometry; values from VASP
&SYSTEM
  ibrav = 0, nat = 20, ntyp = 3
/
ATOMIC_SPECIES
Tm 168.93 Tm.upf
Al 26.98 Al.upf
Au 196.97 Au.upf
CELL_PARAMETERS angstrom
8.921 0.000 0.000
0.000 4.684 0.000
0.000 0.000 9.354
ATOMIC_POSITIONS crystal
Tm 0.234 0.250 0.002
Tm 0.266 0.750 0.502
Tm 0.734 0.250 0.498
Tm 0.766 0.750 0.998
Al 0.101 0.250 0.676
Al 0.399 0.750 0.176
Al 0.601 0.250 0.824
Al 0.899 0.750 0.324
Au 0.066 0.250 0.405
Au 0.110 0.750 0.840
Au 0.112 0.750 0.152
Au 0.388 0.250 0.652
Au 0.390 0.250 0.340
Au 0.434 0.750 0.905
Au 0.566 0.250 0.095
Au 0.610 0.750 0.660
Au 0.612 0.750 0.348
Au 0.888 0.250 0.848
Au 0.890 0.250 0.160
Au 0.934 0.750 0.595
! mass density: 13.37 g/cm³

---

*two*
! TmAlAu3 | the Alexandria database | PBE-GGA | optimized geometry; values from VASP
&SYSTEM
  ibrav = 0, nat = 10, ntyp = 3
/
ATOMIC_SPECIES
Tm 168.93 Tm.upf
Al 26.98 Al.upf
Au 196.97 Au.upf
CELL_PARAMETERS angstrom
6.498 0.000 0.000
0.000 4.409 0.000
-1.780 0.000 6.793
ATOMIC_POSITIONS crystal
Tm 0.198 0.250 0.191
Tm 0.802 0.750 0.809
Al 0.217 0.750 0.567
Al 0.783 0.250 0.433
Au 0.091 0.250 0.744
Au 0.345 0.750 0.956
Au 0.481 0.250 0.626
Au 0.519 0.750 0.374
Au 0.655 0.250 0.044
Au 0.909 0.750 0.256
! mass density: 13.43 g/cm³

---

Decreasing stability: *two*, *one*

---

*one*
! Tm2Al3Au4 | the Alexandria database | PBE-GGA | optimized geometry; values from VASP
&SYSTEM
  ibrav = 0, nat = 18, ntyp = 3
/
ATOMIC_SPECIES
Tm 168.93 Tm.upf
Al 26.98 Al.upf
Au 196.97 Au.upf
CELL_PARAMETERS angstrom
2.879 -7.830 0.000
2.879 7.830 0.000
0.000 0.000 7.662
ATOMIC_POSITIONS crystal
Tm 0.104 0.896 0.903
Tm 0.396 0.604 0.403
Tm 0.604 0.396 0.597
Tm 0.896 0.104 0.097
Al 0.000 0.000 0.500
Al 0.019 0.481 0.750
Al 0.481 0.019 0.250
Al 0.500 0.500 0.000
Al 0.519 0.981 0.750
Al 0.981 0.519 0.250
Au 0.177 0.823 0.529
Au 0.190 0.310 0.750
Au 0.310 0.190 0.250
Au 0.323 0.677 0.029
Au 0.677 0.323 0.971
Au 0.690 0.810 0.750
Au 0.810 0.690 0.250
Au 0.823 0.177 0.471
! mass density: 11.60 g/cm³

---

*two*
! Tm2Al3Au4 | the Alexandria database | PBE-GGA | optimized geometry; values from VASP
&SYSTEM
  ibrav = 0, nat = 18, ntyp = 3
/
ATOMIC_SPECIES
Tm 168.93 Tm.upf
Al 26.98 Al.upf
Au 196.97 Au.upf
CELL_PARAMETERS angstrom
6.697 0.000 0.000
0.000 7.520 0.000
-2.204 0.000 6.879
ATOMIC_POSITIONS crystal
Tm 0.190 0.194 0.057
Tm 0.190 0.306 0.557
Tm 0.810 0.694 0.443
Tm 0.810 0.806 0.943
Al 0.235 0.595 0.239
Al 0.235 0.905 0.739
Al 0.500 0.000 0.500
Al 0.500 0.500 0.000
Al 0.765 0.095 0.261
Al 0.765 0.405 0.761
Au 0.115 0.584 0.827
Au 0.115 0.916 0.327
Au 0.453 0.653 0.621
Au 0.453 0.847 0.121
Au 0.547 0.153 0.879
Au 0.547 0.347 0.379
Au 0.885 0.084 0.673
Au 0.885 0.416 0.173
! mass density: 11.57 g/cm³

---

Decreasing stability: *two*, *one*